Computed, not measured: a geometry-optimized Y2Re structure at the PBE level of DFT.

Its space-group type is Fd-3m. For the calculated formation energy, the calculation gives 1.33 eV per atom. As for the crystal system: cubic. The volume comes out at 23.09 Å³ per atom.

a = 5.808 Å, b = 5.808 Å, c = 5.808 Å
α = 60.00°, β = 60.00°, γ = 60.00°
Sites, in units of the cell vectors:
Y 0.000 0.000 0.000
Y 0.000 0.000 0.500
Y 0.000 0.500 0.000
Y 0.500 0.000 0.000
Re 0.375 0.375 0.375
Re 0.625 0.625 0.625